(1)
Here is Zn2CrOs after structural relaxation from the Alexandria database. Energies are from PBE-GGA.

a b c (Å): 2.602 2.602 8.093
angles (deg): 90.00 90.00 90.00
Sites, in units of the cell vectors:
Zn (0.000, 0.000, 0.244)
Zn (0.000, 0.000, 0.756)
Cr (0.500, 0.500, 0.000)
Os (0.500, 0.500, 0.500)

Properties
Total moment = 0.00 Bohr magnetons per cell
Total energy = -5.45 eV per atom
Distance to the lowest polymorph of the same formula = 347 meV/atom

---

(2)
Here is Zn2CrOs after structural relaxation from the Alexandria database. Energies are from PBE-GGA.

a b c (Å): 2.890 2.890 6.611
angles (deg): 90.00 90.00 90.00
Sites, in units of the cell vectors:
Zn (0.000, 0.000, 0.000)
Zn (0.500, 0.500, 0.263)
Cr (0.000, 0.000, 0.518)
Os (0.500, 0.500, 0.726)

Properties
Total moment = 0.00 Bohr magnetons per cell
Total energy = -5.80 eV per atom
Distance to the lowest polymorph of the same formula = 0 meV/atom

---

(3)
Here is ZnCr2Os after structural relaxation from the Alexandria database. Energies are from PBE-GGA.

a b c (Å): 2.887 4.352 8.398
angles (deg): 90.00 90.00 90.00
Sites, in units of the cell vectors:
Zn (0.000, 0.000, 0.000)
Zn (0.500, 0.500, 0.000)
Cr (0.000, 0.000, 0.476)
Cr (0.000, 0.500, 0.259)
Cr (0.500, 0.000, 0.259)
Cr (0.500, 0.500, 0.476)
Os (0.000, 0.500, 0.725)
Os (0.500, 0.000, 0.725)

Properties
Total moment = 0.00 Bohr magnetons per cell
Total energy = -7.71 eV per atom

---

(4)
Here is Zn2CrOs after structural relaxation from the Alexandria database. Energies are from PBE-GGA.

a b c (Å): 8.598 2.800 4.655
angles (deg): 90.00 99.86 90.00
Sites, in units of the cell vectors:
Zn (0.000, 0.000, 0.000)
Zn (0.245, 0.000, 0.790)
Zn (0.500, 0.500, 0.000)
Zn (0.745, 0.500, 0.790)
Cr (0.493, 0.000, 0.488)
Cr (0.993, 0.500, 0.488)
Os (0.252, 0.500, 0.304)
Os (0.752, 0.000, 0.304)

Properties
Total moment = 2.45 Bohr magnetons per cell
Total energy = -5.65 eV per atom
Distance to the lowest polymorph of the same formula = 151 meV/atom

---

(5)
Here is ZnCr2Os after structural relaxation from the Alexandria database. Energies are from PBE-GGA.

a b c (Å): 5.164 7.550 2.659
angles (deg): 90.00 90.00 90.00
Sites, in units of the cell vectors:
Zn (0.000, 0.000, 0.000)
Zn (0.500, 0.500, 0.000)
Cr (0.250, 0.250, 0.500)
Cr (0.250, 0.750, 0.500)
Cr (0.750, 0.250, 0.500)
Cr (0.750, 0.750, 0.500)
Os (0.000, 0.500, 0.000)
Os (0.500, 0.000, 0.000)

Properties
Total moment = 0.02 Bohr magnetons per cell
Total energy = -7.70 eV per atom

---

(6)
Here is Zn2CrOs after structural relaxation from the Alexandria database. Energies are from PBE-GGA.

a b c (Å): 2.696 3.986 5.315
angles (deg): 90.00 90.00 90.00
Sites, in units of the cell vectors:
Zn (0.000, 0.000, 0.247)
Zn (0.000, 0.000, 0.753)
Cr (0.500, 0.500, 0.500)
Os (0.500, 0.500, 0.000)

Properties
Total moment = 3.71 Bohr magnetons per cell
Total energy = -5.55 eV per atom
Distance to the lowest polymorph of the same formula = 247 meV/atom